# GGA-PBE NaAsPb, optimized geometry
data_NaAsPb
_chemical_formula_sum 'Na8 As8 Pb8'
_space_group_name_H-M_alt 'F m m m'
_space_group_IT_number 69
_space_group_name_Hall '-F 2 2'
_cell_length_a 7.950
_cell_length_b 9.022
_cell_length_c 9.810
_cell_angle_alpha 90.00
_cell_angle_beta 90.00
_cell_angle_gamma 90.00
loop_
_atom_site_label
_atom_site_fract_x
_atom_site_fract_y
_atom_site_fract_z
Na1 0.000 0.000 0.244
As1 0.244 0.000 0.500
Pb1 0.000 0.243 0.500
# Energy = -3.289 eV/atom


# GGA-PBE Ag2PIrN, optimized geometry
data_Ag2PIrN
_chemical_formula_sum 'Ag2 P1 Ir1 N1'
_space_group_name_H-M_alt 'P 4/m m m'
_space_group_IT_number 123
_space_group_name_Hall '-P 4 2'
_cell_length_a 5.322
_cell_length_b 5.322
_cell_length_c 4.325
_cell_angle_alpha 90.00
_cell_angle_beta 90.00
_cell_angle_gamma 90.00
loop_
_atom_site_label
_atom_site_fract_x
_atom_site_fract_y
_atom_site_fract_z
Ag1 0.000 0.500 0.000
P1 0.000 0.000 0.500
Ir1 0.000 0.000 0.000
N1 0.500 0.500 0.500
# E_form (uncorrected) = 1.43 eV/atom


# GGA-PBE NaDyLu, optimized geometry
data_NaDyLu
_chemical_formula_sum 'Na1 Dy1 Lu1'
_space_group_name_H-M_alt 'P 3 m 1'
_space_group_IT_number 156
_cell_length_a 3.4831
_cell_length_b 3.4831
_cell_length_c 9.1103
_cell_angle_alpha 90.00
_cell_angle_beta 90.00
_cell_angle_gamma 120.00
loop_
_space_group_symop_operation_xyz
'x,y,z'
'-y,x-y,z'
'-x+y,-x,z'
'-y,-x,z'
'-x+y,y,z'
'x,x-y,z'
loop_
_atom_site_label
_atom_site_fract_x
_atom_site_fract_y
_atom_site_fract_z
Na1 0.0000 0.0000 0.0000
Dy1 0.3333 0.6667 0.6463
Lu1 0.6667 0.3333 0.3484
# Energy = -3.321 eV/atom